Below is a relaxed ZnGe3Cl crystal, with properties calculated at the PBE level.

Computed properties:
* E_form (uncorrected): 0.82 eV per atom
* V: 24.708 A^3/atom
* energy relative to the lowest polymorph listed for this composition: 1.42 eV/f.u.
* DFT total energy: -2.57 eV/atom
* crystal system: cubic

The structure in CIF format:
```
data_ZnGe3Cl
_chemical_formula_sum 'Zn1 Ge3 Cl1'
_cell_length_a 4.980
_cell_length_b 4.980
_cell_length_c 4.980
_cell_angle_alpha 90.00
_cell_angle_beta 90.00
_cell_angle_gamma 90.00
_space_group_name_H-M_alt 'P m -3 m'
_space_group_IT_number 221
_space_group_name_Hall '-P 4 2 3'
loop_
_atom_site_label
_atom_site_fract_x
_atom_site_fract_y
_atom_site_fract_z
Zn1 0.000 0.000 0.000
Ge1 0.000 0.500 0.500
Cl1 0.500 0.500 0.500
```

---

Below is a relaxed Zn2GeCl crystal, with properties calculated at the PBE level.

Computed properties:
* E_form (uncorrected): 0.27 eV per atom
* V: 19.442 A^3/atom
* energy relative to the lowest polymorph listed for this composition: 1.50 eV/f.u.
* DFT total energy: -1.99 eV/atom
* crystal system: cubic

The structure in CIF format:
```
data_Zn2GeCl
_chemical_formula_sum 'Zn8 Ge4 Cl4'
_cell_length_a 6.776
_cell_length_b 6.776
_cell_length_c 6.776
_cell_angle_alpha 90.00
_cell_angle_beta 90.00
_cell_angle_gamma 90.00
_space_group_name_H-M_alt 'F m -3 m'
_space_group_IT_number 225
_space_group_name_Hall '-F 4 2 3'
loop_
_atom_site_label
_atom_site_fract_x
_atom_site_fract_y
_atom_site_fract_z
Zn1 0.250 0.250 0.250
Ge1 0.000 0.000 0.000
Cl1 0.000 0.000 0.500
```

---

Below is a relaxed Zn2GeCl crystal, with properties calculated at the PBE level.

Computed properties:
* E_form (uncorrected): -0.11 eV per atom
* V: 25.029 A^3/atom
* energy relative to the lowest polymorph listed for this composition: 0.00 eV/f.u.
* DFT total energy: -2.36 eV/atom
* crystal system: tetragonal

The structure in CIF format:
```
data_Zn2GeCl
_chemical_formula_sum 'Zn8 Ge4 Cl4'
_cell_length_a 5.934
_cell_length_b 5.934
_cell_length_c 11.371
_cell_angle_alpha 90.00
_cell_angle_beta 90.00
_cell_angle_gamma 90.00
_space_group_name_H-M_alt 'I -4 2 d'
_space_group_IT_number 122
_space_group_name_Hall 'I -4 2bw'
loop_
_atom_site_label
_atom_site_fract_x
_atom_site_fract_y
_atom_site_fract_z
Zn1 0.226 0.250 0.125
Ge1 0.000 0.000 0.000
Cl1 0.000 0.000 0.500
```

---

Below is a relaxed ZrZnGe2Cl crystal, with properties calculated at the PBE level.

Computed properties:
* E_form (uncorrected): 0.59 eV per atom
* V: 22.039 A^3/atom
* DFT total energy: -3.59 eV/atom
* crystal system: tetragonal

The structure in CIF format:
```
data_ZrZnGe2Cl
_chemical_formula_sum 'Zr1 Zn1 Ge2 Cl1'
_cell_length_a 4.871
_cell_length_b 4.871
_cell_length_c 4.644
_cell_angle_alpha 90.00
_cell_angle_beta 90.00
_cell_angle_gamma 90.00
_space_group_name_H-M_alt 'P 4/m m m'
_space_group_IT_number 123
_space_group_name_Hall '-P 4 2'
loop_
_atom_site_label
_atom_site_fract_x
_atom_site_fract_y
_atom_site_fract_z
Zr1 0.000 0.000 0.000
Zn1 0.500 0.500 0.000
Ge1 0.000 0.500 0.500
Cl1 0.500 0.500 0.500
```